(1)
A geometry-optimized Ag4Pt7 structure. Source: Alexandria, functional PBE.

Calculated values
V   358 Å³ per cell
Relative energy among the computed polymorphs   0.022 eV/atom
Spin magnetization   0.00 μB per formula unit
ΔE_f   0.0049 eV per atom
E_tot   -4.8761 eV/atom

Lattice parameters (Å, degrees): 12.679 2.784 11.876 90.00 121.24 90.00
Space group Cm (No. 8)
Symmetry-distinct sites (fractional):
Ag 0.000 0.000 0.000 [2 per cell]
Ag 0.038 0.500 0.816 [2 per cell]
Ag 0.180 0.000 0.267 [2 per cell]
Ag 0.408 0.500 0.364 [2 per cell]
Pt 0.081 0.000 0.631 [2 per cell]
Pt 0.137 0.500 0.451 [2 per cell]
Pt 0.231 0.500 0.084 [2 per cell]
Pt 0.271 0.000 0.907 [2 per cell]
Pt 0.302 0.500 0.722 [2 per cell]
Pt 0.360 0.000 0.548 [2 per cell]
Pt 0.452 0.000 0.183 [2 per cell]

(2)
A geometry-optimized ZrMnRu3 structure. Source: Alexandria, functional PBE.

Calculated values
V   86 Å³ per cell
Relative energy among the computed polymorphs   0.000 eV/atom
Spin magnetization   0.00 μB per formula unit
ΔE_f   0.6344 eV per atom
E_tot   -8.4747 eV/atom

Lattice parameters (Å, degrees): 4.413 4.413 4.413 90.00 90.00 90.00
Space group Pm-3m (No. 221)
Symmetry-distinct sites (fractional):
Zr 0.000 0.000 0.000 [1 per cell]
Mn 0.500 0.500 0.500 [1 per cell]
Ru 0.000 0.500 0.500 [3 per cell]